1.
Crystalline LaCr2Fe at its relaxed geometry. Source: the Alexandria database, functional GGA-PBEsol.

## Properties
For the excess energy over the best structure of this formula in the dataset, the calculation gives 0.027 eV/atom. The space group is No. 99. The calculation puts the calculated formation energy at 0.4273 eV per atom.

a = 2.9401 Å, b = 2.9401 Å, c = 7.2974 Å
α = 90.00°, β = 90.00°, γ = 90.00°
Last column: nearest neighbours and their distance in Å.
Element x y z (fractional)
La 0.0000 0.0000 0.0000  4 La 2.94, 4 Fe 3.09, 4 Cr 3.21
Cr 0.0000 0.0000 0.5116  4 Cr 2.44, 4 Fe 2.44
Cr 0.5000 0.5000 0.3360  4 Cr 2.44, 1 Fe 2.56
Fe 0.5000 0.5000 0.6874  5 Cr 2.44-2.56

=====

2.
Crystalline BeAgBr2 at its relaxed geometry. Source: the Alexandria database, functional GGA-PBEsol.

## Properties
For the excess energy over the best structure of this formula in the dataset, the calculation gives 0.306 eV/atom. The space group is No. 119. For the formation energy from raw total energies, the calculation gives 243 meV/atom.

a = 7.0829 Å, b = 7.0829 Å, c = 7.0829 Å
α = 149.40°, β = 149.40°, γ = 43.83°
Last column: nearest neighbours and their distance in Å.
Element x y z (fractional)
Be 0.0000 0.0000 0.0000  4 Br 2.64
Ag 0.2500 0.7500 0.5000  4 Br 2.64
Br 0.5000 0.5000 0.0000  4 Be 2.64
Br 0.7500 0.2500 0.5000  4 Ag 2.64

=====

3.
Crystalline Mg3ScIn at its relaxed geometry. Source: the Alexandria database, functional GGA-PBEsol.

## Properties
The space group is No. 221. The calculation puts the calculated formation energy at 0.9205 eV per atom.

a = 5.5505 Å, b = 5.5505 Å, c = 5.5505 Å
α = 90.00°, β = 90.00°, γ = 90.00°
Last column: nearest neighbours and their distance in Å.
Element x y z (fractional)
Mg 0.0000 0.0000 0.5000  2 Sc 2.78
Mg 0.0000 0.5000 0.0000  2 Sc 2.78
Mg 0.5000 0.0000 0.0000  2 Sc 2.78
Sc 0.0000 0.0000 0.0000  6 Mg 2.78
In 0.5000 0.5000 0.5000  12 Mg 3.92

=====

4.
Crystalline LuAl2Pd5 at its relaxed geometry. Source: the Alexandria database, functional GGA-PBEsol.

## Properties
The space group is No. 139. The calculation puts the calculated formation energy at -0.9870 eV per atom.

a = 7.8751 Å, b = 7.8751 Å, c = 7.8751 Å
α = 150.19°, β = 150.19°, γ = 42.66°
Last column: nearest neighbours and their distance in Å.
Element x y z (fractional)
Lu 0.0000 0.0000 0.0000  12 Pd 2.86-2.90
Al 0.2530 0.2530 0.0000  8 Pd 2.55-2.60
Al 0.7470 0.7470 0.0000  8 Pd 2.55-2.60
Pd 0.1414 0.6414 0.5000  4 Al 2.55-2.60
Pd 0.3586 0.8586 0.5000  4 Al 2.55-2.60
Pd 0.5000 0.5000 0.0000  4 Lu 2.86, 8 Pd 2.90
Pd 0.6414 0.1414 0.5000  4 Al 2.55-2.60
Pd 0.8586 0.3586 0.5000  4 Al 2.55-2.60

=====

5.
Crystalline LiOs2Cl at its relaxed geometry. Source: the Alexandria database, functional GGA-PBEsol.

## Properties
For the excess energy over the best structure of this formula in the dataset, the calculation gives 0.910 eV/atom. The space group is No. 123. For the formation energy from raw total energies, the calculation gives 1064 meV/atom.

a = 3.0116 Å, b = 3.0116 Å, c = 6.2918 Å
α = 90.00°, β = 90.00°, γ = 90.00°
Last column: nearest neighbours and their distance in Å.
Element x y z (fractional)
Li 0.0000 0.0000 0.0000  8 Os 2.42
Os 0.5000 0.5000 0.1826  1 Os 2.30, 4 Li 2.42
Os 0.5000 0.5000 0.8174  1 Os 2.30, 4 Li 2.42
Cl 0.0000 0.0000 0.5000  8 Os 2.92, 4 Cl 3.01, 2 Li 3.15

=====

6.
Crystalline LaZnIr at its relaxed geometry. Source: the Alexandria database, functional GGA-PBEsol.

## Properties
The space group is No. 107. The calculation puts the calculated formation energy at -0.3059 eV per atom.

a = 5.9833 Å, b = 5.9833 Å, c = 5.9833 Å
α = 148.34°, β = 148.34°, γ = 45.39°
Last column: nearest neighbours and their distance in Å.
Element x y z (fractional)
La 0.0000 0.0000 0.0000  4 Ir 3.01, 5 Zn 3.15-3.31, 4 La 3.26
Zn 0.2849 0.2849 0.0000  4 Ir 2.61
Ir 0.6747 0.6747 0.0000  4 Zn 2.61

=====

7.
Crystalline Pt2W at its relaxed geometry. Source: the Alexandria database, functional GGA-PBEsol.

## Properties
For the excess energy over the best structure of this formula in the dataset, the calculation gives 0.091 eV/atom. The space group is No. 62. The calculation puts the calculated formation energy at -0.2807 eV per atom.

a = 4.7689 Å, b = 4.4966 Å, c = 8.3974 Å
α = 90.00°, β = 90.00°, γ = 90.00°
Last column: nearest neighbours and their distance in Å.
Element x y z (fractional)
Pt 0.1686 0.2500 0.1676  7 Pt 2.73-2.84, 5 W 2.76-2.79
Pt 0.1765 0.2500 0.5058  5 W 2.71-2.79, 7 Pt 2.73-2.84
Pt 0.3235 0.7500 0.0058  5 W 2.71-2.79, 7 Pt 2.73-2.84
Pt 0.3314 0.7500 0.6676  7 Pt 2.73-2.84, 5 W 2.76-2.79
Pt 0.6686 0.2500 0.3324  7 Pt 2.73-2.84, 5 W 2.76-2.79
Pt 0.6765 0.2500 0.9942  5 W 2.71-2.79, 7 Pt 2.73-2.84
Pt 0.8235 0.7500 0.4942  5 W 2.71-2.79, 7 Pt 2.73-2.84
Pt 0.8314 0.7500 0.8324  7 Pt 2.73-2.84, 5 W 2.76-2.79
W 0.1775 0.2500 0.8386  10 Pt 2.71-2.79, 2 W 2.81
W 0.3225 0.7500 0.3386  10 Pt 2.71-2.79, 2 W 2.81
W 0.6775 0.2500 0.6614  10 Pt 2.71-2.79, 2 W 2.81
W 0.8225 0.7500 0.1614  10 Pt 2.71-2.79, 2 W 2.81

=====

8.
Crystalline Ba9Nb10O30 at its relaxed geometry. Source: the Alexandria database, functional GGA-PBEsol.

## Properties
The space group is No. 2. For the formation energy from raw total energies, the calculation gives -2820 meV/atom.

a = 9.1424 Å, b = 9.1486 Å, c = 9.1496 Å
α = 90.03°, β = 101.54°, γ = 113.59°
Last column: nearest neighbours and their distance in Å.
Element x y z (fractional)
Ba 0.0000 0.0000 0.0000  12 O 2.85-2.89
Ba 0.0001 0.3990 0.1999  12 O 2.84-2.90
Ba 0.9999 0.6010 0.8001  12 O 2.84-2.90
Ba 0.0061 0.8019 0.4017  12 O 2.85-2.93
Ba 0.4993 0.3946 0.6974  12 O 2.85-2.93
Ba 0.5001 0.1977 0.1054  12 O 2.85-2.93
Ba 0.4999 0.8023 0.8946  12 O 2.85-2.93
Ba 0.5007 0.6054 0.3026  12 O 2.85-2.93
Ba 0.9939 0.1981 0.5983  12 O 2.85-2.93
Nb 0.2498 0.4000 0.9497  6 O 2.04-2.05
Nb 0.2520 0.9997 0.7477  6 O 2.03-2.07
Nb 0.2524 0.1982 0.3522  6 O 2.02-2.07
Nb 0.2523 0.6034 0.5490  6 O 2.03-2.07
Nb 0.2535 0.8028 0.1537  6 O 2.02-2.07
Nb 0.7465 0.1972 0.8463  6 O 2.02-2.07
Nb 0.7480 0.0003 0.2523  6 O 2.03-2.07
Nb 0.7477 0.3966 0.4510  6 O 2.03-2.07
Nb 0.7476 0.8018 0.6478  6 O 2.02-2.07
Nb 0.7502 0.6000 0.0503  6 O 2.04-2.05
O 0.0001 0.1001 0.2998  2 Nb 2.06
O 0.9997 0.2999 0.9000  2 Nb 2.04-2.07
O 0.0000 0.5000 0.5000  2 Nb 2.06
O 0.0003 0.7001 0.1000  2 Nb 2.04-2.07
O 0.9999 0.8999 0.7002  2 Nb 2.06
O 0.2455 0.1015 0.5511  2 Nb 2.02-2.03
O 0.2464 0.0002 0.2464  2 Nb 2.03
O 0.2463 0.6951 0.3473  2 Nb 2.03
O 0.2460 0.7965 0.6524  2 Nb 2.03
O 0.2493 0.3997 0.4499  2 Nb 2.06
O 0.2497 0.1998 0.8504  2 Nb 2.04-2.07
O 0.2502 0.3004 0.1501  2 Nb 2.05-2.07
O 0.2499 0.4996 0.7499  2 Nb 2.04-2.07
O 0.2503 0.6004 0.0495  2 Nb 2.05-2.07
O 0.2501 0.9002 0.9502  2 Nb 2.06-2.07
O 0.4997 0.1014 0.8051  2 Nb 2.02-2.03
O 0.5000 0.3058 0.3991  2 Nb 2.03
O 0.5000 0.5000 0.0000  2 Nb 2.05
O 0.5000 0.6942 0.6009  2 Nb 2.03
O 0.5003 0.8986 0.1949  2 Nb 2.02-2.03
O 0.7499 0.0998 0.0498  2 Nb 2.06-2.07
O 0.7497 0.3996 0.9505  2 Nb 2.05-2.07
O 0.7501 0.5004 0.2501  2 Nb 2.04-2.07
O 0.7498 0.6996 0.8499  2 Nb 2.05-2.07
O 0.7503 0.8002 0.1496  2 Nb 2.04-2.07
O 0.7507 0.6003 0.5501  2 Nb 2.06
O 0.7536 0.9998 0.7536  2 Nb 2.03
O 0.7540 0.2035 0.3476  2 Nb 2.03
O 0.7537 0.3049 0.6527  2 Nb 2.03
O 0.7545 0.8985 0.4489  2 Nb 2.02-2.03

=====

9.
Crystalline TcPBr2 at its relaxed geometry. Source: the Alexandria database, functional GGA-PBEsol.

## Properties
For the excess energy over the best structure of this formula in the dataset, the calculation gives 0.171 eV/atom. The space group is No. 71. For the formation energy from raw total energies, the calculation gives 125 meV/atom.

a = 7.6335 Å, b = 7.6335 Å, c = 7.6335 Å
α = 157.10°, β = 150.23°, γ = 37.89°
Last column: nearest neighbours and their distance in Å.
Element x y z (fractional)
Tc 0.0000 0.0000 0.0000  4 P 2.48, 4 Br 2.65
P 0.5000 0.5000 0.0000  4 Tc 2.48
Br 0.1504 0.6504 0.5000  2 Tc 2.65, 2 P 2.93
Br 0.8496 0.3496 0.5000  2 Tc 2.65, 2 P 2.93

=====

10.
Crystalline FePtSe2N at its relaxed geometry. Source: the Alexandria database, functional GGA-PBEsol.

## Properties
The space group is No. 123. For the formation energy from raw total energies, the calculation gives 325 meV/atom.

a = 4.7594 Å, b = 4.7594 Å, c = 3.2888 Å
α = 90.00°, β = 90.00°, γ = 90.00°
Last column: nearest neighbours and their distance in Å.
Element x y z (fractional)
Fe 0.0000 0.0000 0.0000  2 N 1.64
Pt 0.5000 0.5000 0.5000  8 Se 2.89
Se 0.0000 0.5000 0.0000  2 Fe 2.38
Se 0.5000 0.0000 0.0000  2 Fe 2.38
N 0.0000 0.0000 0.5000  2 Fe 1.64

=====

11.
Crystalline RbCdSb2S at its relaxed geometry. Source: the Alexandria database, functional GGA-PBEsol.

## Properties
The space group is No. 123. For the formation energy from raw total energies, the calculation gives 127 meV/atom.

a = 5.2197 Å, b = 5.2197 Å, c = 5.9312 Å
α = 90.00°, β = 90.00°, γ = 90.00°
Last column: nearest neighbours and their distance in Å.
Element x y z (fractional)
Rb 0.0000 0.0000 0.0000  2 S 2.97
Cd 0.5000 0.5000 0.0000  4 Rb 3.69, 8 Sb 3.95
Sb 0.0000 0.5000 0.5000  2 S 2.61
Sb 0.5000 0.0000 0.5000  2 S 2.61
S 0.0000 0.0000 0.5000  4 Sb 2.61

=====

12.
Crystalline CaSnAsPb2 at its relaxed geometry. Source: the Alexandria database, functional GGA-PBEsol.

## Properties
The space group is No. 123. The calculation puts the calculated formation energy at 0.9612 eV per atom.

a = 5.6622 Å, b = 5.6622 Å, c = 5.5904 Å
α = 90.00°, β = 90.00°, γ = 90.00°
Last column: nearest neighbours and their distance in Å.
Element x y z (fractional)
Ca 0.0000 0.0000 0.0000  2 Sn 2.80, 4 Pb 2.83
Sn 0.0000 0.0000 0.5000  2 Ca 2.80
As 0.5000 0.5000 0.5000  8 Pb 3.98, 4 Sn 4.00
Pb 0.0000 0.5000 0.0000  2 Ca 2.83
Pb 0.5000 0.0000 0.0000  2 Ca 2.83

=====

Number 1: total energy -33.08 eV for the cell shown. Number 2: total energy -10.08 eV for the cell shown. Number 3: total energy -10.14 eV for the cell shown. Number 4: total energy -50.74 eV for the cell shown. Number 5: total energy -24.15 eV for the cell shown. Number 6: total energy -17.67 eV for the cell shown. Number 7: total energy -114.31 eV for the cell shown. Number 8: total energy -423.24 eV for the cell shown. Number 9: total energy -20.30 eV for the cell shown. Number 10: total energy -30.53 eV for the cell shown. Number 11: total energy -15.09 eV for the cell shown. Number 12: total energy -14.69 eV for the cell shown.